No. 1
# Pr4Nd3Y5 PBE-GGA relaxed
# ΔE to the lowest computed polymorph   0.194 eV per atom
# Energy relative to the elements   0.208 eV per atom
data_Pr4Nd3Y5
_cell_length_a 6.0545
_cell_length_b 8.7196
_cell_length_c 9.8534
_cell_angle_alpha 105.66
_cell_angle_beta 72.11
_cell_angle_gamma 69.69
_space_group_name_H-M_alt 'P 1'
_space_group_IT_number 1
_space_group_name_Hall 'P 1'
loop_
_atom_site_label
_atom_site_fract_x
_atom_site_fract_y
_atom_site_fract_z
Pr1 0.8622 0.2227 0.0528
Pr2 0.1713 0.0412 0.6161
Pr3 0.8287 0.9588 0.3839
Pr4 0.1378 0.7773 0.9472
Nd1 0.5237 0.6877 0.2650
Nd2 0.0000 0.5000 0.5000
Nd3 0.4763 0.3123 0.7350
Y1 0.6286 0.9428 0.8000
Y2 0.5000 0.5000 0.5000
Y3 0.2144 0.4561 0.1151
Y4 0.7856 0.5439 0.8849
Y5 0.3714 0.0572 0.2000

No. 2
# Pm2YPaCo2 PBE-GGA relaxed
# Energy relative to the elements   -0.195 eV per atom
data_Pm2YPaCo2
_cell_length_a 6.7775
_cell_length_b 6.8801
_cell_length_c 8.0274
_cell_angle_alpha 115.37
_cell_angle_beta 114.97
_cell_angle_gamma 90.00
_space_group_name_H-M_alt 'P 1'
_space_group_IT_number 1
_space_group_name_Hall 'P 1'
loop_
_atom_site_label
_atom_site_fract_x
_atom_site_fract_y
_atom_site_fract_z
Pm1 0.7002 0.9106 0.4004
Pm2 0.2002 0.4899 0.4004
Pm3 0.7998 0.5101 0.5996
Pm4 0.2998 0.0894 0.5996
Y1 0.2500 0.0000 0.0000
Y2 0.7500 0.0000 0.0000
Pa1 0.7500 0.5000 0.0000
Pa2 0.2500 0.5000 0.0000
Co1 0.4135 0.6191 0.8270
Co2 0.5865 0.3809 0.1730
Co3 0.0865 0.7921 0.1730
Co4 0.9135 0.2079 0.8270

No. 3
# PuNi5As2 PBE-GGA relaxed
# Energy relative to the elements   -0.379 eV per atom
data_PuNi5As2
_cell_length_a 3.7705
_cell_length_b 5.9648
_cell_length_c 5.9648
_cell_angle_alpha 67.31
_cell_angle_beta 71.58
_cell_angle_gamma 71.58
_space_group_name_H-M_alt 'P 1'
_space_group_IT_number 1
_space_group_name_Hall 'P 1'
loop_
_atom_site_label
_atom_site_fract_x
_atom_site_fract_y
_atom_site_fract_z
Pu1 0.0000 0.0000 0.0000
Ni1 0.0000 0.5000 0.5000
Ni2 0.6401 0.5464 0.1735
Ni3 0.3599 0.4536 0.8265
Ni4 0.3599 0.8265 0.4536
Ni5 0.6401 0.1735 0.5464
As1 0.7507 0.7493 0.7493
As2 0.2493 0.2507 0.2507

No. 4
# SrRu PBE-GGA relaxed
# Energy relative to the elements   0.404 eV per atom
data_SrRu
_cell_length_a 3.3160
_cell_length_b 3.6255
_cell_length_c 9.0389
_cell_angle_alpha 90.00
_cell_angle_beta 90.00
_cell_angle_gamma 90.00
_space_group_name_H-M_alt 'P 1'
_space_group_IT_number 1
_space_group_name_Hall 'P 1'
loop_
_atom_site_label
_atom_site_fract_x
_atom_site_fract_y
_atom_site_fract_z
Ru1 0.0000 0.0000 0.9181
Ru2 0.5000 0.5000 0.8319
Sr1 0.0000 0.0000 0.5806
Sr2 0.5000 0.5000 0.1694

No. 5
# SrMn2Cr PBE-GGA relaxed
# ΔE to the lowest computed polymorph   0.614 eV per atom
# Energy relative to the elements   1.048 eV per atom
data_SrMn2Cr
_cell_length_a 4.9957
_cell_length_b 4.9957
_cell_length_c 4.9957
_cell_angle_alpha 60.00
_cell_angle_beta 60.00
_cell_angle_gamma 60.00
_space_group_name_H-M_alt 'P 1'
_space_group_IT_number 1
_space_group_name_Hall 'P 1'
loop_
_atom_site_label
_atom_site_fract_x
_atom_site_fract_y
_atom_site_fract_z
Cr1 0.5000 0.5000 0.5000
Mn1 0.0000 0.0000 0.0000
Mn2 0.2500 0.2500 0.2500
Sr1 0.7500 0.7500 0.7500

No. 6
# LuTh2Ti PBE-GGA relaxed
# ΔE to the lowest computed polymorph   0.073 eV per atom
# Energy relative to the elements   0.195 eV per atom
data_LuTh2Ti
_cell_length_a 5.3731
_cell_length_b 5.3731
_cell_length_c 5.3731
_cell_angle_alpha 60.00
_cell_angle_beta 60.00
_cell_angle_gamma 60.00
_space_group_name_H-M_alt 'P 1'
_space_group_IT_number 1
_space_group_name_Hall 'P 1'
loop_
_atom_site_label
_atom_site_fract_x
_atom_site_fract_y
_atom_site_fract_z
Lu1 0.0000 0.0000 0.0000
Th1 0.2500 0.2500 0.2500
Th2 0.7500 0.7500 0.7500
Ti1 0.5000 0.5000 0.5000

No. 7
# YHgPb2 PBE-GGA relaxed
# Energy relative to the elements   -0.194 eV per atom
data_YHgPb2
_cell_length_a 5.4539
_cell_length_b 5.4539
_cell_length_c 5.4539
_cell_angle_alpha 60.00
_cell_angle_beta 60.00
_cell_angle_gamma 60.00
_space_group_name_H-M_alt 'P 1'
_space_group_IT_number 1
_space_group_name_Hall 'P 1'
loop_
_atom_site_label
_atom_site_fract_x
_atom_site_fract_y
_atom_site_fract_z
Hg1 0.5000 0.5000 0.5000
Pb1 0.0000 0.0000 0.0000
Pb2 0.2500 0.2500 0.2500
Y1 0.7500 0.7500 0.7500

No. 8
# LiNi6Ru PBE-GGA relaxed
# Energy relative to the elements   0.047 eV per atom
data_LiNi6Ru
_cell_length_a 6.1839
_cell_length_b 6.1839
_cell_length_c 10.1153
_cell_angle_alpha 90.00
_cell_angle_beta 90.00
_cell_angle_gamma 109.72
_space_group_name_H-M_alt 'P 1'
_space_group_IT_number 1
_space_group_name_Hall 'P 1'
loop_
_atom_site_label
_atom_site_fract_x
_atom_site_fract_y
_atom_site_fract_z
Li1 0.2455 0.7545 0.7500
Li2 0.7545 0.2455 0.7500
Li3 0.5000 0.5000 0.5025
Li4 0.5000 0.5000 0.9975
Ni1 0.2496 0.7504 0.5014
Ni2 0.8724 0.6224 0.6265
Ni3 0.1276 0.3776 0.6265
Ni4 0.7504 0.2496 0.5014
Ni5 0.3776 0.1276 0.6265
Ni6 0.6224 0.8724 0.6265
Ni7 0.5000 0.5000 0.2500
Ni8 0.1258 0.3748 0.3765
Ni9 0.3748 0.1258 0.3765
Ni10 0.2496 0.7504 0.9986
Ni11 0.8742 0.6252 0.1235
Ni12 0.1258 0.3748 0.1235
Ni13 0.7504 0.2496 0.9986
Ni14 0.3748 0.1258 0.1235
Ni15 0.6252 0.8742 0.1235
Ni16 0.5000 0.5000 0.7500
Ni17 0.1276 0.3776 0.8735
Ni18 0.3776 0.1276 0.8735
Ni19 0.0000 0.0000 0.2500
Ni20 0.6252 0.8742 0.3765
Ni21 0.8742 0.6252 0.3765
Ni22 0.0000 0.0000 0.7500
Ni23 0.6224 0.8724 0.8735
Ni24 0.8724 0.6224 0.8735
Ru1 0.2516 0.7484 0.2500
Ru2 0.7484 0.2516 0.2500
Ru3 0.0000 0.0000 0.5069
Ru4 0.0000 0.0000 0.9931

No. 9
# TmMgHgBi PBE-GGA relaxed
# Energy relative to the elements   -0.295 eV per atom
data_TmMgHgBi
_cell_length_a 5.2734
_cell_length_b 5.2734
_cell_length_c 5.2734
_cell_angle_alpha 60.00
_cell_angle_beta 60.00
_cell_angle_gamma 60.00
_space_group_name_H-M_alt 'P 1'
_space_group_IT_number 1
_space_group_name_Hall 'P 1'
loop_
_atom_site_label
_atom_site_fract_x
_atom_site_fract_y
_atom_site_fract_z
Mg1 0.0000 0.0000 0.0000
Tm1 0.5000 0.5000 0.5000
Bi1 0.7500 0.7500 0.7500
Hg1 0.2500 0.2500 0.2500

No. 10
# BeAgMo PBE-GGA relaxed
# ΔE to the lowest computed polymorph   0.551 eV per atom
# Energy relative to the elements   0.795 eV per atom
data_BeAgMo
_cell_length_a 4.0105
_cell_length_b 4.0105
_cell_length_c 4.0105
_cell_angle_alpha 60.00
_cell_angle_beta 60.00
_cell_angle_gamma 60.00
_space_group_name_H-M_alt 'P 1'
_space_group_IT_number 1
_space_group_name_Hall 'P 1'
loop_
_atom_site_label
_atom_site_fract_x
_atom_site_fract_y
_atom_site_fract_z
Be1 0.7500 0.7500 0.7500
Mo1 0.0000 0.0000 0.0000
Ag1 0.5000 0.5000 0.5000

No. 11
# CeYSi PBE-GGA relaxed
# ΔE to the lowest computed polymorph   0.347 eV per atom
# Formation energy (no corrections)   -0.67 eV/f.u.
data_CeYSi
_cell_length_a 4.1056
_cell_length_b 4.6952
_cell_length_c 4.6952
_cell_angle_alpha 120.00
_cell_angle_beta 90.00
_cell_angle_gamma 90.00
_space_group_name_H-M_alt 'P 1'
_space_group_IT_number 1
_space_group_name_Hall 'P 1'
loop_
_atom_site_label
_atom_site_fract_x
_atom_site_fract_y
_atom_site_fract_z
Y1 0.5780 0.6667 0.3333
Si1 0.3847 0.3333 0.6667
Ce1 0.0373 0.0000 0.0000

No. 12
# YTaAl PBE-GGA relaxed
# ΔE to the lowest computed polymorph   0.211 eV per atom
# Energy relative to the elements   -0.001 eV per atom
data_YTaAl
_cell_length_a 7.1486
_cell_length_b 7.1483
_cell_length_c 3.0255
_cell_angle_alpha 77.79
_cell_angle_beta 77.78
_cell_angle_gamma 24.43
_space_group_name_H-M_alt 'P 1'
_space_group_IT_number 1
_space_group_name_Hall 'P 1'
loop_
_atom_site_label
_atom_site_fract_x
_atom_site_fract_y
_atom_site_fract_z
Y1 0.6626 0.6626 0.3374
Al1 0.9892 0.9892 0.0108
Ta1 0.3482 0.3482 0.6518

These records have uncorrected energy values of -5.27, -6.81, -6.95, -5.07, -6.36, -6.62, -3.74, -5.69, -2.86, -5.01, -6.16, -7.35 eV/atom, in the order they appear.